Entry 1:
Ba2TeCl, optimized geometry, DFT PBE-GGA; formation energy without anion corrections = -1.56 eV per atom; polymorph energy (0 for the lowest one) = 89 kJ/mol of formula units; energy = -3.76 eV per atom; volume = 425 Å³ per cell
1.0
-3.724 3.724 7.665
3.724 -3.724 7.665
3.724 3.724 -7.665
Ba Te Cl
4 2 2
Direct
0.105 0.625 0.980 Ba
0.375 0.355 0.480 Ba
0.645 0.125 0.020 Ba
0.875 0.895 0.520 Ba
0.250 0.750 0.500 Te
0.500 0.500 0.000 Te
0.000 0.000 0.000 Cl
0.750 0.250 0.500 Cl

Entry 2:
Dy5Er2Pd4, optimized geometry, DFT PBE-GGA; E_form = -35 kJ/mol of atoms; energy = -5.17 eV per atom; volume = 295 Å³ per cell
1.0
11.539 -1.864 0.000
11.539 1.864 0.000
-2.195 0.000 6.853
Dy Er Pd
5 2 4
Direct
0.000 0.000 0.000 Dy
0.366 0.366 0.604 Dy
0.379 0.379 0.120 Dy
0.621 0.621 0.880 Dy
0.634 0.634 0.396 Dy
0.235 0.235 0.777 Er
0.765 0.765 0.223 Er
0.076 0.076 0.577 Pd
0.496 0.496 0.694 Pd
0.504 0.504 0.306 Pd
0.924 0.924 0.423 Pd

Entry 3:
LaDy2ThBi4, optimized geometry, DFT PBE-GGA; E_form = -82 kJ/mol of atoms; energy = -5.48 eV per atom; volume = 268 Å³ per cell
1.0
7.863 0.000 0.000
0.000 4.571 0.000
-2.647 0.000 7.465
La Dy Th Bi
1 2 1 4
Direct
0.000 0.000 0.000 La
0.500 0.000 0.500 Dy
0.500 0.500 0.000 Dy
0.000 0.500 0.500 Th
0.260 0.000 0.751 Bi
0.261 0.500 0.257 Bi
0.739 0.500 0.743 Bi
0.740 0.000 0.249 Bi

| no. | theoretical density (g cm⁻³) |
| --- | --- |
| 1 | 3.4 |
| 2 | 8.9 |
| 3 | 9.5 |